(1)
# PBE-GGA K2NaTl6Sn, relaxed
# **Formation energy**: 64.1 meV/atom
# **Crystal system**: cubic
# **Space-group type**: Fm-3m (225)
data_K2NaTl6Sn
_chemical_formula_sum 'K2 Na1 Tl6 Sn1'
_space_group_name_H-M_alt 'P 1'
_space_group_IT_number 1
_cell_length_a 8.342
_cell_length_b 8.342
_cell_length_c 8.342
_cell_angle_alpha 60.00
_cell_angle_beta 60.00
_cell_angle_gamma 90.00
loop_
_space_group_symop_operation_xyz
'x,y,z'
loop_
_atom_site_label
_atom_site_type_symbol
_atom_site_fract_x
_atom_site_fract_y
_atom_site_fract_z
Sn1 Sn 0.000 0.000 0.000
Na1 Na 0.500 0.500 0.000
Tl1 Tl 0.751 0.751 0.000
Tl2 Tl 0.249 0.751 0.000
K1 K 0.250 0.750 0.500
Tl3 Tl 0.249 0.249 0.000
Tl4 Tl 0.751 0.249 0.000
Tl5 Tl 0.249 0.249 0.502
K2 K 0.750 0.250 0.500
Tl6 Tl 0.751 0.751 0.498



(2)
# PBE-GGA Tb2DyAlC, relaxed
# **Formation energy**: -370.6 meV/atom
# **Crystal system**: tetragonal
# **Space-group type**: P4/mmm (123)
data_Tb2DyAlC
_chemical_formula_sum 'Tb2 Dy1 Al1 C1'
_space_group_name_H-M_alt 'P 1'
_space_group_IT_number 1
_cell_length_a 4.884
_cell_length_b 4.914
_cell_length_c 4.914
_cell_angle_alpha 90.00
_cell_angle_beta 90.00
_cell_angle_gamma 90.00
loop_
_space_group_symop_operation_xyz
'x,y,z'
loop_
_atom_site_label
_atom_site_type_symbol
_atom_site_fract_x
_atom_site_fract_y
_atom_site_fract_z
Al1 Al 0.500 0.500 0.500
Dy1 Dy 0.500 0.000 0.000
Tb1 Tb 0.000 0.000 0.500
Tb2 Tb 0.000 0.500 0.000
C1 C 0.000 0.000 0.000



(3)
# PBE-GGA In3PdBr, relaxed
# **Crystal system**: cubic
# **Uncorrected formation energy**: -431 meV per atom
# **Offset from the most stable computed form**: 0.00 eV per formula unit
# **Space-group type**: Pm-3m (221)
data_In3PdBr
_chemical_formula_sum 'In3 Pd1 Br1'
_space_group_name_H-M_alt 'P 1'
_space_group_IT_number 1
_cell_length_a 5.249
_cell_length_b 5.249
_cell_length_c 5.249
_cell_angle_alpha 90.00
_cell_angle_beta 90.00
_cell_angle_gamma 90.00
loop_
_space_group_symop_operation_xyz
'x,y,z'
loop_
_atom_site_label
_atom_site_type_symbol
_atom_site_fract_x
_atom_site_fract_y
_atom_site_fract_z
Pd1 Pd 0.000 0.000 0.000
Br1 Br 0.500 0.500 0.500
In1 In 0.000 0.500 0.000
In2 In 0.500 0.000 0.000
In3 In 0.000 0.000 0.500



(4)
# PBE-GGA SrSmPd10, relaxed
# **Formation energy**: -442.6 meV/atom
# **Crystal system**: orthorhombic
# **Space-group type**: Pmmm (47)
data_SrSmPd10
_chemical_formula_sum 'Sr1 Sm1 Pd10'
_space_group_name_H-M_alt 'P 1'
_space_group_IT_number 1
_cell_length_a 4.484
_cell_length_b 5.387
_cell_length_c 9.347
_cell_angle_alpha 90.00
_cell_angle_beta 90.00
_cell_angle_gamma 90.00
loop_
_space_group_symop_operation_xyz
'x,y,z'
loop_
_atom_site_label
_atom_site_type_symbol
_atom_site_fract_x
_atom_site_fract_y
_atom_site_fract_z
Pd1 Pd 0.500 0.500 0.000
Pd2 Pd 0.000 0.000 0.340
Pd3 Pd 0.500 0.252 0.746
Sm1 Sm 0.000 0.500 0.500
Sr1 Sr 0.000 0.000 0.000
Pd4 Pd 0.000 0.500 0.825
Pd5 Pd 0.500 0.000 0.500
Pd6 Pd 0.500 0.748 0.254
Pd7 Pd 0.000 0.500 0.175
Pd8 Pd 0.500 0.748 0.746
Pd9 Pd 0.000 0.000 0.660
Pd10 Pd 0.500 0.252 0.254



(5)
# PBE-GGA Nd2Sc2In3, relaxed
# **Formation energy**: -329.8 meV/atom
# **Crystal system**: orthorhombic
# **Space-group type**: Cmmm (65)
data_Nd2Sc2In3
_chemical_formula_sum 'Nd2 Sc2 In3'
_space_group_name_H-M_alt 'P 1'
_space_group_IT_number 1
_cell_length_a 4.667
_cell_length_b 3.274
_cell_length_c 12.233
_cell_angle_alpha 90.00
_cell_angle_beta 79.00
_cell_angle_gamma 90.00
loop_
_space_group_symop_operation_xyz
'x,y,z'
loop_
_atom_site_label
_atom_site_type_symbol
_atom_site_fract_x
_atom_site_fract_y
_atom_site_fract_z
Sc1 Sc 0.711 0.500 0.579
Nd1 Nd 0.577 0.500 0.846
In1 In 0.837 0.000 0.326
In2 In 0.163 0.000 0.674
In3 In 0.000 0.000 0.000
Sc2 Sc 0.289 0.500 0.421
Nd2 Nd 0.423 0.500 0.154



(6)
# PBE-GGA CaReIr4, relaxed
# **Formation energy**: 251.1 meV/atom
# **Crystal system**: cubic
# **Space-group type**: F-43m (216)
data_CaReIr4
_chemical_formula_sum 'Ca1 Re1 Ir4'
_space_group_name_H-M_alt 'P 1'
_space_group_IT_number 1
_cell_length_a 5.216
_cell_length_b 5.216
_cell_length_c 5.216
_cell_angle_alpha 60.00
_cell_angle_beta 60.00
_cell_angle_gamma 60.00
loop_
_space_group_symop_operation_xyz
'x,y,z'
loop_
_atom_site_label
_atom_site_type_symbol
_atom_site_fract_x
_atom_site_fract_y
_atom_site_fract_z
Ir1 Ir 0.375 0.375 0.876
Ca1 Ca 0.000 0.000 0.000
Ir2 Ir 0.876 0.375 0.375
Ir3 Ir 0.375 0.876 0.375
Ir4 Ir 0.375 0.375 0.375
Re1 Re 0.750 0.750 0.750



(7)
# PBE-GGA Cd2MoW, relaxed
# **Formation energy**: 1006.9 meV/atom
# **Crystal system**: cubic
# **Offset from the most stable computed form**: 2.86 eV per formula unit
# **Space-group type**: Fm-3m (225)
data_Cd2MoW
_chemical_formula_sum 'Cd2 Mo1 W1'
_space_group_name_H-M_alt 'P 1'
_space_group_IT_number 1
_cell_length_a 4.647
_cell_length_b 4.647
_cell_length_c 4.647
_cell_angle_alpha 60.00
_cell_angle_beta 60.00
_cell_angle_gamma 60.00
loop_
_space_group_symop_operation_xyz
'x,y,z'
loop_
_atom_site_label
_atom_site_type_symbol
_atom_site_fract_x
_atom_site_fract_y
_atom_site_fract_z
Cd1 Cd 0.750 0.750 0.750
Mo1 Mo 0.000 0.000 0.000
Cd2 Cd 0.250 0.250 0.250
W1 W 0.500 0.500 0.500



(8)
# PBE-GGA BaLiCe2O5, relaxed
# **Crystal system**: tetragonal
# **Uncorrected formation energy**: -2977 meV per atom
# **Space-group type**: I4/mcm (140)
data_BaLiCe2O5
_chemical_formula_sum 'Ba2 Li2 Ce4 O10'
_space_group_name_H-M_alt 'P 1'
_space_group_IT_number 1
_cell_length_a 6.691
_cell_length_b 6.691
_cell_length_c 7.469
_cell_angle_alpha 116.61
_cell_angle_beta 116.61
_cell_angle_gamma 90.00
loop_
_space_group_symop_operation_xyz
'x,y,z'
loop_
_atom_site_label
_atom_site_type_symbol
_atom_site_fract_x
_atom_site_fract_y
_atom_site_fract_z
O1 O 0.521 0.726 0.747
O2 O 0.021 0.521 0.747
O3 O 0.979 0.479 0.253
Li1 Li 0.250 0.750 0.500
O4 O 0.500 0.500 0.000
O5 O 0.774 0.979 0.253
O6 O 0.726 0.226 0.747
O7 O 0.479 0.274 0.253
Li2 Li 0.750 0.250 0.500
Ba1 Ba 0.250 0.250 0.500
Ce1 Ce 0.172 0.328 0.000
Ce2 Ce 0.328 0.828 0.000
O8 O 0.226 0.021 0.747
O9 O 0.000 0.000 0.000
Ce3 Ce 0.672 0.172 0.000
Ce4 Ce 0.828 0.672 0.000
O10 O 0.274 0.774 0.253
Ba2 Ba 0.750 0.750 0.500



(9)
# PBE-GGA Ce4InPd15, relaxed
# **Formation energy**: -757.1 meV/atom
# **Crystal system**: tetragonal
# **Space-group type**: P4/mmm (123)
data_Ce4InPd15
_chemical_formula_sum 'Ce4 In1 Pd15'
_space_group_name_H-M_alt 'P 1'
_space_group_IT_number 1
_cell_length_a 4.144
_cell_length_b 4.144
_cell_length_c 20.568
_cell_angle_alpha 90.00
_cell_angle_beta 90.00
_cell_angle_gamma 90.00
loop_
_space_group_symop_operation_xyz
'x,y,z'
loop_
_atom_site_label
_atom_site_type_symbol
_atom_site_fract_x
_atom_site_fract_y
_atom_site_fract_z
Pd1 Pd 0.500 0.500 0.803
Pd2 Pd 0.500 0.000 0.702
Pd3 Pd 0.000 0.500 0.500
Ce1 Ce 0.000 0.000 0.194
In1 In 0.000 0.000 0.000
Pd4 Pd 0.500 0.000 0.903
Pd5 Pd 0.000 0.500 0.097
Pd6 Pd 0.500 0.000 0.298
Pd7 Pd 0.500 0.500 0.197
Pd8 Pd 0.500 0.000 0.500
Pd9 Pd 0.500 0.500 0.000
Pd10 Pd 0.500 0.500 0.601
Pd11 Pd 0.500 0.000 0.097
Ce2 Ce 0.000 0.000 0.602
Ce3 Ce 0.000 0.000 0.806
Pd12 Pd 0.000 0.500 0.298
Ce4 Ce 0.000 0.000 0.398
Pd13 Pd 0.500 0.500 0.399
Pd14 Pd 0.000 0.500 0.903
Pd15 Pd 0.000 0.500 0.702



(10)
# PBE-GGA K2MgHg, relaxed
# **Formation energy**: 98.4 meV/atom
# **Crystal system**: trigonal
# **Offset from the most stable computed form**: 0.64 eV per formula unit
# **Space-group type**: R-3m (166)
data_K2MgHg
_chemical_formula_sum 'K2 Mg1 Hg1'
_space_group_name_H-M_alt 'P 1'
_space_group_IT_number 1
_cell_length_a 12.124
_cell_length_b 12.124
_cell_length_c 12.124
_cell_angle_alpha 19.02
_cell_angle_beta 19.02
_cell_angle_gamma 19.02
loop_
_space_group_symop_operation_xyz
'x,y,z'
loop_
_atom_site_label
_atom_site_type_symbol
_atom_site_fract_x
_atom_site_fract_y
_atom_site_fract_z
Mg1 Mg 0.250 0.250 0.250
K1 K 0.006 0.006 0.006
Hg1 Hg 0.750 0.750 0.750
K2 K 0.494 0.494 0.494



(11)
# PBE-GGA BeSbSeI2, relaxed
# **Crystal system**: tetragonal
# **Uncorrected formation energy**: 466 meV per atom
# **Offset from the most stable computed form**: 0.00 eV per formula unit
# **Space-group type**: P4/mmm (123)
data_BeSbSeI2
_chemical_formula_sum 'Be1 Sb1 Se1 I2'
_space_group_name_H-M_alt 'P 1'
_space_group_IT_number 1
_cell_length_a 4.960
_cell_length_b 4.960
_cell_length_c 5.490
_cell_angle_alpha 90.00
_cell_angle_beta 90.00
_cell_angle_gamma 90.00
loop_
_space_group_symop_operation_xyz
'x,y,z'
loop_
_atom_site_label
_atom_site_type_symbol
_atom_site_fract_x
_atom_site_fract_y
_atom_site_fract_z
I1 I 0.000 0.500 0.000
Se1 Se 0.500 0.500 0.500
I2 I 0.500 0.000 0.000
Be1 Be 0.000 0.000 0.000
Sb1 Sb 0.000 0.000 0.500



(12)
# PBE-GGA Np2GeP, relaxed
# **Formation energy**: -131.7 meV/atom
# **Crystal system**: tetragonal
# **Offset from the most stable computed form**: 1.09 eV per formula unit
# **Space-group type**: P4/mmm (123)
data_Np2GeP
_chemical_formula_sum 'Np2 Ge1 P1'
_space_group_name_H-M_alt 'P 1'
_space_group_IT_number 1
_cell_length_a 2.463
_cell_length_b 5.358
_cell_length_c 5.358
_cell_angle_alpha 90.00
_cell_angle_beta 90.00
_cell_angle_gamma 90.00
loop_
_space_group_symop_operation_xyz
'x,y,z'
loop_
_atom_site_label
_atom_site_type_symbol
_atom_site_fract_x
_atom_site_fract_y
_atom_site_fract_z
Ge1 Ge 0.500 0.000 0.000
P1 P 0.500 0.500 0.500
Np1 Np 0.000 0.000 0.500
Np2 Np 0.000 0.500 0.000



| no. | V (A^3/atom) |
| --- | --- |
| 1 | 41.1 |
| 2 | 23.6 |
| 3 | 28.9 |
| 4 | 18.8 |
| 5 | 26.2 |
| 6 | 16.7 |
| 7 | 17.7 |
| 8 | 14.4 |
| 9 | 17.7 |
| 10 | 41.4 |
| 11 | 27.0 |
| 12 | 17.7 |